# Sr2ZnBr

An optimized crystal structure of Sr2ZnBr (GGA-PBE, the Alexandria database).

Geometry as CIF:
```
data_Sr2ZnBr
_cell_length_a 7.6065
_cell_length_b 4.3826
_cell_length_c 8.7549
_cell_angle_alpha 90.00
_cell_angle_beta 106.83
_cell_angle_gamma 90.00
_symmetry_space_group_name_H-M 'P 1'
_symmetry_Int_Tables_number 1
loop_
_symmetry_equiv_pos_as_xyz
'x,y,z'
loop_
_atom_site_label
_atom_site_fract_x
_atom_site_fract_y
_atom_site_fract_z
Sr1 0.2440 0.0000 0.2321
Sr2 0.2560 0.5000 0.7679
Sr3 0.7440 0.5000 0.2321
Sr4 0.7560 0.0000 0.7679
Zn1 0.0000 0.5000 0.0000
Zn2 0.5000 0.0000 0.0000
Br1 0.0000 0.0000 0.5000
Br2 0.5000 0.5000 0.5000
```

Properties
N(E_F): 6.30 states/eV/cell
DFT total energy: -2.39 eV/atom
Total magnetization: 0.418 μB/cell
E_form (uncorrected): -817 meV/atom
Crystal system: monoclinic